Mg5GaPd6: relaxed, PBE-GGA.

```
12
Lattice="4.3805 -0.0213 -1.2394 -3.3196 6.2393 -3.3726 -0.2060 -1.0506 7.7574" Properties=species:S:1:pos:R:3 pbc="T T T"
Mg 1.4520 0.1848 5.2353
Mg -1.2446 1.3811 4.0448
Mg 0.4274 2.5837 1.5727
Mg -2.2810 3.8076 0.3400
Mg -0.5972 4.9826 -2.0899
Pd 0.7156 0.0848 2.5747
Pd 1.1487 2.7193 4.1790
Pd 2.3905 1.2335 0.1392
Pd -1.5356 3.9339 3.0062
Pd -0.2938 2.4482 -1.0336
Pd 0.1392 5.0826 0.5707
Ga 0.0000 0.0000 0.0000
```

## Properties
For the formation energy, the calculation gives -0.73 eV/atom. The calculated volume comes out at 15.83 Å³/atom. The density of states at the Fermi level comes out at 6.06 states/eV/f.u.

Mg3GaPd12: relaxed, PBE-GGA.

```
16
Lattice="-0.5542 -3.9297 -0.0538 0.1764 0.0294 -3.9649 15.5559 -2.2032 0.6758" Properties=species:S:1:pos:R:3 pbc="T T T"
Mg 3.8446 -0.5445 0.1670
Mg 7.7779 -1.1016 0.3379
Mg 11.7113 -1.6587 0.5088
Ga 0.0000 0.0000 0.0000
Pd -0.1889 -1.9501 -2.0094
Pd 3.6798 -2.4981 -1.8413
Pd 7.5890 -3.0517 -1.6714
Pd 11.4982 -3.6054 -1.5016
Pd 1.6089 -2.2320 0.0550
Pd 5.5424 -2.7891 0.2259
Pd 9.4593 -3.3438 0.3961
Pd 13.3928 -3.9009 0.5670
Pd 1.9742 -0.2524 -1.9005
Pd 5.9077 -0.8095 -1.7296
Pd 9.8246 -1.3643 -1.5595
Pd 13.7581 -1.9214 -1.3886
```

## Properties
For the formation energy, the calculation gives -0.46 eV/atom. The calculated volume comes out at 15.48 Å³/atom. The density of states at the Fermi level comes out at 21.54 states/eV/f.u.

Mg6GaPd: relaxed, PBE-GGA.

```
8
Lattice="4.3067 0.0002 1.2968 -0.3908 4.2887 1.2972 -0.2246 -0.2470 8.5455" Properties=species:S:1:pos:R:3 pbc="T T T"
Mg 2.8253 3.0943 6.2153
Mg 2.3938 0.2626 7.6491
Mg 0.0451 2.4070 7.6495
Mg 1.2975 3.7793 3.4903
Mg 0.8659 0.9476 4.9242
Mg 3.6461 1.6348 3.4900
Ga 1.9579 2.1445 1.2970
Pd 0.0000 0.0000 0.0000
```

## Properties
The calculation puts the energy above the most stable polymorph in this dataset at 0.00 eV per formula unit. For the formation energy, the calculation gives -0.23 eV/atom. The calculated volume comes out at 20.07 Å³/atom. The density of states at the Fermi level comes out at 1.65 states/eV/f.u.